Record 1
## LiZrBr (PBE)

Data for an optimized crystal structure of LiZrBr.

Unit cell a=4.7154 b=4.7154 c=3.3760 alpha=90.00 beta=90.00 gamma=120.00
Space group P3m1 (No. 156)
Symmetry-distinct sites (fractional):
Li  0.0000  0.0000  0.0000 [1 per cell]
Zr  0.6667  0.3333  0.5107 [1 per cell]
Br  0.3333  0.6667  0.5683 [1 per cell]

Values from the calculation:
ΔE to the lowest computed polymorph   0.736 eV per atom
Formation energy without anion corrections   -0.010 eV/atom
Calculated volume   21.669 A^3/atom

Record 2
## Pm3ScCd2 (PBE)

Data for an optimized crystal structure of Pm3ScCd2.

Unit cell a=5.436 b=16.674 c=3.769 alpha=90.00 beta=90.00 gamma=90.00
Space group Cmmm (No. 65)
Symmetry-distinct sites (fractional):
Pm  0.000  0.000  0.000 [2 per cell]
Pm  0.000  0.329  0.000 [4 per cell]
Sc  0.000  0.500  0.500 [2 per cell]
Cd  0.000  0.158  0.500 [4 per cell]

Values from the calculation:
Calculated volume   28.470 A^3/atom
E_form   -1.06 eV/f.u.

Record 3
## AlGaHg (PBE)

Data for an optimized crystal structure of AlGaHg.

Unit cell a=6.106 b=3.120 c=6.521 alpha=90.00 beta=90.04 gamma=90.00
Space group P2/m (No. 10)
Symmetry-distinct sites (fractional):
Al  0.000  0.000  0.000 [1 per cell]
Al  0.500  0.000  0.000 [1 per cell]
Ga  0.250  0.500  0.261 [2 per cell]
Hg  0.250  0.000  0.635 [2 per cell]

Values from the calculation:
Calculated volume   20.706 A^3/atom
E_form   0.26 eV/f.u.

Record 4
## Y2Ge2Pt (PBE)

Data for an optimized crystal structure of Y2Ge2Pt.

Unit cell a=6.774 b=6.774 c=4.510 alpha=90.00 beta=90.00 gamma=90.00
Space group P4/mbm (No. 127)
Symmetry-distinct sites (fractional):
Y  0.173  0.327  0.000 [4 per cell]
Ge  0.138  0.638  0.500 [4 per cell]
Pt  0.000  0.000  0.500 [2 per cell]

Values from the calculation:
Calculated volume   20.696 A^3/atom
E_form   -4.89 eV/f.u.

| no. | Fermi-level density of states (states/eV/cell) |
| --- | --- |
| 1 | 2.7 |
| 2 | 16.1 |
| 3 | 2.3 |
| 4 | 3.4 |